[1]
8
Lattice="-6.7121 5.0470 2.6989 -3.1583 -6.7352 4.7405 -3.0147 0.2185 6.5089" Properties=species:S:1:pos:R:3 comment="KY2Ir PBE-GGA optimized geometry" formation_energy_ev_per_atom=0.12 space_group=I-42d relative_energy_mev_per_atom=465 dos_at_fermi_per_ev_atom=0.96 pbc="T T T"
K -4.9352 -0.8441 3.7197
Ir -7.3310 2.2107 6.4637
Y -5.6324 0.2346 7.1760
K -5.5541 -3.6804 7.4845
Y -11.2277 -2.0171 11.8865
Y -6.0449 2.8945 4.1886
Ir 0.0000 0.0000 0.0000
Y -2.8652 -4.0514 4.6453

---

[2]
8
Lattice="-7.3444 -4.6190 -4.5026 4.8007 -8.4713 0.8597 -2.3153 -6.9243 0.2694" Properties=species:S:1:pos:R:3 comment="Mg2CoTe PBE-GGA optimized geometry" space_group=I-42d formation_energy_uncorrected_ev_per_atom=0.12 dos_at_fermi_per_ev_atom=0.87 pbc="T T T"
Mg -5.1436 -14.5625 -3.1970
Co 0.6068 -10.9704 -0.3461
Mg -2.7615 -4.5401 -1.5312
Te -5.4657 -9.0442 -3.0273
Te 0.0000 0.0000 0.0000
Co -1.2718 -6.5452 -1.8214
Mg -1.5089 -12.1868 -0.9524
Mg -0.3039 -8.7397 -1.0662

---

[3]
4
Lattice="-3.2134 -2.6367 0.7969 3.2020 -3.3479 1.8344 -0.5124 1.9956 4.5366" Properties=species:S:1:pos:R:3 comment="NaHoSb2 PBE-GGA optimized geometry" space_group=P4/mmm formation_energy_uncorrected_ev_per_atom=-0.55 relative_energy_mev_per_atom=32 dos_at_fermi_per_ev_atom=0.49 pbc="T T T"
Ho -1.6067 -1.3184 0.3985
Sb 1.6010 -1.6740 0.9172
Na -0.2619 -1.9945 3.5840
Sb -0.2562 0.9978 2.2683

---

[4]
12
Lattice="7.1444 -0.0027 0.0011 -3.5728 6.1869 0.0011 -1.1901 -2.0606 7.4969" Properties=species:S:1:pos:R:3 comment="Pm6Ir2PdCl3 PBE-GGA optimized geometry" space_group=C2/m formation_energy_uncorrected_ev_per_atom=-1.19 dos_at_fermi_per_ev_atom=0.46 pbc="T T T"
Pm 0.0388 0.0671 5.9611
Pm 2.3428 4.0566 1.5380
Pm -1.2278 2.1267 1.5390
Ir 3.5704 2.0615 0.0011
Pm 3.6094 1.9970 5.9601
Pm -0.0741 4.1244 5.9601
Pm 2.4557 -0.0007 1.5390
Cl -2.3308 4.0957 3.7495
Cl 4.7124 0.0280 3.7495
Ir 0.0012 4.1228 0.0011
Cl 1.1908 2.0619 3.7495
Pd 0.0000 0.0000 0.0000

---

[5]
7
Lattice="-4.1944 2.2598 1.4293 -4.4097 -2.0557 -1.0349 -2.6135 -4.4502 8.0219" Properties=species:S:1:pos:R:3 comment="Ho4TlGa2 PBE-GGA optimized geometry" formation_energy_ev_per_atom=-0.23 space_group=R-3m dos_at_fermi_per_ev_atom=0.64 pbc="T T T"
Ho -2.7696 -1.6791 3.1826
Ho -5.5188 -3.7209 6.9985
Tl 0.0000 0.0000 0.0000
Ho -5.6988 -0.5252 1.4178
Ho -8.4479 -2.5670 5.2338
Ga -8.5280 -1.1457 2.7516
Ga -2.6895 -3.1004 5.6647

---

[6]
16
Lattice="-1.3950 -0.3231 -8.9552 5.9711 -7.9871 -0.6420 -7.0271 -0.5566 5.7069" Properties=species:S:1:pos:R:3 comment="Ac8SiPt3I4 PBE-GGA optimized geometry" space_group=R-3m formation_energy_uncorrected_ev_per_atom=-1.10 dos_at_fermi_per_ev_atom=0.54 pbc="T T T"
Ac -2.9458 -3.0373 -4.0236
Si 2.9856 -3.9936 -0.3210
Pt -1.2255 -4.4334 -1.9452
Ac -2.9255 -6.1004 2.9110
Pt 2.2880 -4.1551 -4.7986
I -4.2111 -0.4398 -1.6242
Ac 0.4745 -2.7664 -6.8014
I -3.5136 -0.2783 2.8534
Ac -0.1341 -5.9879 -4.3552
Ac -3.6045 -6.2577 -1.4479
Pt -0.5280 -4.2719 2.5324
Ac 1.1535 -2.6091 -2.4425
Ac 0.4947 -5.8295 0.1332
I 0.0000 0.0000 0.0000
I -0.6975 -0.1615 -4.4776
Ac -2.3169 -2.8789 0.4648

---

[7]
6
Lattice="5.7952 0.0000 0.0000 2.8976 5.0188 0.0000 2.8976 1.6729 4.7318" Properties=species:S:1:pos:R:3 comment="PrNb2 PBE-GGA optimized geometry" formation_energy_ev_per_atom=0.27 space_group=Fd-3m dos_at_fermi_per_ev_atom=1.17 pbc="T T T"
Nb 4.3464 4.1823 2.9574
Pr 2.8976 1.6729 1.1829
Pr 0.0000 0.0000 0.0000
Nb 7.2440 4.1823 2.9574
Nb 5.7952 3.3459 0.5915
Nb 5.7952 1.6729 2.9574

---

[8]
7
Lattice="3.4613 0.0000 0.0000 0.0000 8.3730 -0.6696 -1.7307 -3.3560 7.9975" Properties=species:S:1:pos:R:3 comment="Ho2Er2Th3 PBE-GGA optimized geometry" formation_energy_ev_per_atom=0.14 space_group=C2/m relative_energy_mev_per_atom=0 dos_at_fermi_per_ev_atom=1.45 pbc="T T T"
Th 0.0000 5.2159 2.8696
Ho 1.7307 7.1175 0.4882
Th 0.0000 4.1865 -0.3348
Er 1.7307 3.2222 5.2017
Th 1.7307 -0.1988 4.4583
Er 0.0000 1.7949 2.1262
Ho 0.0000 -2.1004 6.8396

---

[9]
5
Lattice="5.6198 0.0000 0.0000 0.0000 5.6198 0.0000 0.0000 0.0000 5.6198" Properties=species:S:1:pos:R:3 comment="SrMg3Zr PBE-GGA optimized geometry" formation_energy_ev_per_atom=0.63 space_group=Pm-3m relative_energy_mev_per_atom=0 dos_at_fermi_per_ev_atom=1.14 pbc="T T T"
Mg 0.0000 2.8099 0.0000
Sr 2.8099 2.8099 2.8099
Zr 0.0000 0.0000 0.0000
Mg 2.8099 0.0000 0.0000
Mg 0.0000 0.0000 2.8099

---

[10]
6
Lattice="-4.1805 -1.5945 -2.9712 -4.2999 -3.1814 -0.4860 -4.0740 3.2158 1.8578" Properties=species:S:1:pos:R:3 comment="Tc2P PBE-GGA optimized geometry" formation_energy_ev_per_atom=-0.41 space_group=C2/m relative_energy_mev_per_atom=27 dos_at_fermi_per_ev_atom=0.55 pbc="T T T"
P -4.2349 -0.3676 -0.4382
Tc -8.2507 -1.0415 -1.0614
Tc -10.3162 -2.6019 -2.1571
P -6.2641 -2.1777 -1.6916
Tc -6.3224 1.7120 0.7895
Tc -0.1828 0.0565 0.0273

---

[11]
24
Lattice="4.2021 0.0000 0.0000 0.0000 8.8502 0.0000 0.0000 0.0000 10.5936" Properties=species:S:1:pos:R:3 comment="Hf3CoNi2 PBE-GGA optimized geometry" formation_energy_ev_per_atom=-0.37 space_group=Pnma dos_at_fermi_per_ev_atom=0.86 pbc="T T T"
Hf 1.0505 1.0465 5.9231
Hf 3.1516 2.6566 8.1267
Hf 1.0505 3.3786 0.6263
Hf 1.0505 0.6968 9.4908
Hf 3.1516 5.1219 6.3995
Hf 3.1516 1.7685 2.8299
Ni 1.0505 6.2803 5.1920
Hf 3.1516 7.8037 4.6705
Ni 3.1516 1.8552 0.1048
Hf 1.0505 3.7283 4.1941
Hf 3.1516 5.4716 9.9673
Ni 3.1516 2.5700 5.4016
Co 3.1516 5.3699 3.8408
Ni 1.0505 6.9951 10.4888
Co 1.0505 3.4803 6.7528
Ni 1.0505 8.6730 3.4506
Ni 1.0505 4.6023 8.7474
Hf 1.0505 6.1936 2.4669
Ni 3.1516 4.2479 1.8462
Hf 3.1516 8.1534 1.1027
Hf 1.0505 7.0817 7.7637
Co 3.1516 7.9054 9.1375
Co 1.0505 0.9448 1.4560
Ni 3.1516 0.1772 7.1429

---

[12]
4
Lattice="5.7575 0.0000 0.0000 2.8787 4.9861 0.0000 2.8787 1.6620 4.7010" Properties=species:S:1:pos:R:3 comment="SrLaPmIn PBE-GGA optimized geometry" formation_energy_ev_per_atom=-0.10 space_group=F-43m dos_at_fermi_per_ev_atom=1.04 pbc="T T T"
Pm 2.8787 1.6620 1.1752
In 0.0000 0.0000 0.0000
La 8.6362 4.9861 3.5257
Sr 5.7575 3.3241 2.3505

---

[13]
5
Lattice="6.3070 0.0000 0.0000 0.0000 4.7132 0.0000 0.0000 0.0000 6.3070" Properties=species:S:1:pos:R:3 comment="K2LiFePd PBE-GGA optimized geometry" formation_energy_ev_per_atom=0.67 space_group=P4/mmm dos_at_fermi_per_ev_atom=0.69 pbc="T T T"
K 0.0000 0.0000 3.1535
K 3.1535 0.0000 0.0000
Pd 0.0000 2.3566 0.0000
Fe 0.0000 0.0000 0.0000
Li 3.1535 2.3566 3.1535

---

[14]
16
Lattice="0.9285 2.8675 -6.6403 -0.9891 -7.9521 -2.9381 -6.6208 4.4334 4.2793" Properties=species:S:1:pos:R:3 comment="In6GaHg9 PBE-GGA optimized geometry" formation_energy_ev_per_atom=0.02 space_group=P-1 dos_at_fermi_per_ev_atom=0.35 pbc="T T T"
Hg -4.9262 -1.6641 -0.4262
Hg -1.8440 3.1130 -2.1820
In -0.6352 -5.0043 -2.8458
In -6.0462 4.3531 -2.4533
In -0.2955 -4.9533 -6.7552
Hg -4.3345 1.2223 -2.9451
Hg -0.0303 -2.5423 -4.7892
In -2.8176 0.7167 -0.2489
Hg -4.8374 -3.7642 -3.1170
Hg -4.6923 1.4102 2.0943
Ga 0.0000 0.0000 0.0000
In -6.3860 4.3021 1.4562
Hg -1.9891 -2.0614 -7.3934
Hg -1.7552 1.0129 -4.8729
Hg -2.3470 -1.8735 -2.3540
In -3.8638 -1.3679 -5.0501